(1)
The following is a DFT calculation (PBE-GGA) of an optimized crystal structure of Fe2MoAsN. Values from VASP.

Geometry as Quantum ESPRESSO input:
```
&SYSTEM
  ibrav = 0, nat = 5, ntyp = 4
/
ATOMIC_SPECIES
Mo 95.94 Mo.upf
N 14.01 N.upf
As 74.92 As.upf
Fe 55.84 Fe.upf
CELL_PARAMETERS angstrom
4.2902 0.0000 0.0000
0.0000 3.8440 0.0000
0.0000 0.0000 4.2902
ATOMIC_POSITIONS crystal
Mo 0.5000 0.5000 0.5000
N 0.0000 0.5000 0.0000
As 0.0000 0.0000 0.0000
Fe 0.0000 0.0000 0.5000
Fe 0.5000 0.0000 0.0000
```

As for the calculated total energy: -6.42 eV/atom. As for the formation energy (no corrections): 1.730 eV per atom. As for the space-group type: P4/mmm, No. 123. Its density of states at the Fermi level is 1.594 states/eV per atom.

(2)
The following is a DFT calculation (PBE-GGA) of an optimized crystal structure of Na4Ag2O. Values from VASP.

Geometry as Quantum ESPRESSO input:
```
&SYSTEM
  ibrav = 0, nat = 7, ntyp = 3
/
ATOMIC_SPECIES
Na 22.99 Na.upf
O 16.00 O.upf
Ag 107.87 Ag.upf
CELL_PARAMETERS angstrom
4.5806 0.0000 0.0000
0.0000 4.5806 0.0000
2.2903 2.2903 7.8634
ATOMIC_POSITIONS crystal
Na 0.1464 0.1464 0.7072
Na 0.8536 0.8536 0.2928
Na 0.0000 0.5000 0.0000
Na 0.5000 0.0000 0.0000
O 0.0000 0.0000 0.0000
Ag 0.3403 0.3403 0.3194
Ag 0.6597 0.6597 0.6806
```

As for the calculated total energy: -2.69 eV/atom. As for the formation energy (no corrections): -0.418 eV per atom. As for the space-group type: I4/mmm, No. 139. Its density of states at the Fermi level is 0.000 states/eV per atom.

(3)
The following is a DFT calculation (PBE-GGA) of an optimized crystal structure of TiV2Bi. Values from VASP.

Geometry as Quantum ESPRESSO input:
```
&SYSTEM
  ibrav = 0, nat = 8, ntyp = 3
/
ATOMIC_SPECIES
V 50.94 V.upf
Bi 208.98 Bi.upf
Ti 47.87 Ti.upf
CELL_PARAMETERS angstrom
-0.3643 3.1512 -2.2801
-3.8817 -0.1484 0.4151
-1.5012 7.2748 6.9470
ATOMIC_POSITIONS crystal
V 0.6129 0.1250 0.2500
V 0.1371 0.6250 0.2500
V 0.3750 0.3871 0.7500
V 0.8750 0.8629 0.7500
Bi 0.0000 0.0000 0.0000
Bi 0.7500 0.2500 0.5000
Ti 0.5000 0.5000 0.0000
Ti 0.2500 0.7500 0.5000
```

As for the calculated total energy: -6.89 eV/atom. The energy relative to the elements is 2.444 eV per formula unit. As for the space-group type: I-42d, No. 122. Its density of states at the Fermi level is 1.378 states/eV per atom.

(4)
The following is a DFT calculation (PBE-GGA) of an optimized crystal structure of Dy2InOs. Values from VASP.

Geometry as Quantum ESPRESSO input:
```
&SYSTEM
  ibrav = 0, nat = 4, ntyp = 3
/
ATOMIC_SPECIES
In 114.82 In.upf
Os 190.23 Os.upf
Dy 162.50 Dy.upf
CELL_PARAMETERS angstrom
-0.9502 -0.4542 -3.7231
-2.2309 -2.9716 -1.0786
-9.0312 4.3468 -0.2360
ATOMIC_POSITIONS crystal
In 0.0000 0.0000 0.0000
Os 0.5000 0.5000 0.5000
Dy 0.1132 0.1132 0.6604
Dy 0.8868 0.8868 0.3396
```

As for the calculated total energy: -5.64 eV/atom. The energy relative to the elements is 0.600 eV per formula unit. As for the space-group type: R-3m, No. 166. Its density of states at the Fermi level is 0.831 states/eV per atom.

(5)
The following is a DFT calculation (PBE-GGA) of an optimized crystal structure of BaSm3H. Values from VASP.

Geometry as Quantum ESPRESSO input:
```
&SYSTEM
  ibrav = 0, nat = 5, ntyp = 3
/
ATOMIC_SPECIES
H 1.01 H.upf
Ba 137.33 Ba.upf
Sm 150.36 Sm.upf
CELL_PARAMETERS angstrom
5.2848 0.0000 0.0000
0.0000 5.2848 0.0000
0.0000 0.0000 5.2848
ATOMIC_POSITIONS crystal
H 0.0000 0.0000 0.0000
Ba 0.5000 0.5000 0.5000
Sm 0.0000 0.5000 0.0000
Sm 0.0000 0.0000 0.5000
Sm 0.5000 0.0000 0.0000
```

As for the calculated total energy: -3.89 eV/atom. As for the space-group type: Pm-3m, No. 221. Its density of states at the Fermi level is 1.118 states/eV per atom.

(6)
The following is a DFT calculation (PBE-GGA) of an optimized crystal structure of Nd4SmAg. Values from VASP.

Geometry as Quantum ESPRESSO input:
```
&SYSTEM
  ibrav = 0, nat = 12, ntyp = 3
/
ATOMIC_SPECIES
Nd 144.24 Nd.upf
Sm 150.36 Sm.upf
Ag 107.87 Ag.upf
CELL_PARAMETERS angstrom
5.5176 0.0000 0.0000
0.0000 6.6061 0.0000
-2.7588 0.0000 10.8474
ATOMIC_POSITIONS crystal
Nd 0.9341 0.2083 0.8683
Nd 0.0659 0.7083 0.1317
Nd 0.4712 0.8682 0.9425
Nd 0.5288 0.3682 0.0575
Nd 0.6684 0.5602 0.3368
Nd 0.3316 0.0602 0.6632
Nd 0.7474 0.1017 0.4947
Nd 0.2526 0.6017 0.5053
Sm 0.8674 0.7122 0.7349
Sm 0.1326 0.2122 0.2651
Ag 0.6096 0.9828 0.2192
Ag 0.3904 0.4828 0.7808
```

As for the calculated total energy: -4.40 eV/atom. The energy relative to the elements is 0.232 eV per formula unit. As for the space-group type: Cmc2_1, No. 36. Its density of states at the Fermi level is 1.353 states/eV per atom.

(7)
The following is a DFT calculation (PBE-GGA) of an optimized crystal structure of Er3Cu2Os. Values from VASP.

Geometry as Quantum ESPRESSO input:
```
&SYSTEM
  ibrav = 0, nat = 12, ntyp = 3
/
ATOMIC_SPECIES
Er 167.26 Er.upf
Cu 63.55 Cu.upf
Os 190.23 Os.upf
CELL_PARAMETERS angstrom
-3.1349 -1.1127 3.5213
1.4443 -7.1072 2.3719
4.3842 2.4523 4.6800
ATOMIC_POSITIONS crystal
Er 0.8312 0.3385 0.7594
Er 0.4994 0.0000 0.2416
Er 0.1688 0.6615 0.2406
Er 0.8303 0.3385 0.2406
Er 0.1697 0.6615 0.7594
Er 0.5006 0.0000 0.7584
Cu 0.0000 0.0000 0.0000
Cu 0.0000 0.0000 0.5000
Cu 0.3334 0.3332 0.5000
Cu 0.6666 0.6668 0.5000
Os 0.3349 0.3302 0.0000
Os 0.6651 0.6698 0.0000
```

As for the calculated total energy: -5.81 eV/atom. The energy relative to the elements is -1.728 eV per formula unit. As for the space-group type: Cmmm, No. 65. Its density of states at the Fermi level is 0.556 states/eV per atom.

(8)
The following is a DFT calculation (PBE-GGA) of an optimized crystal structure of Tb3NdEr2P6. Values from VASP.

Geometry as Quantum ESPRESSO input:
```
&SYSTEM
  ibrav = 0, nat = 12, ntyp = 4
/
ATOMIC_SPECIES
Tb 158.93 Tb.upf
Nd 144.24 Nd.upf
Er 167.26 Er.upf
P 30.97 P.upf
CELL_PARAMETERS angstrom
-5.0224 4.1965 -2.4400
1.8336 -5.7047 -3.5893
-3.4552 -3.0049 5.2762
ATOMIC_POSITIONS crystal
Tb 0.1655 0.8345 0.5000
Tb 0.8345 0.1655 0.5000
Tb 0.5000 0.5000 0.5000
Nd 0.0000 0.0000 0.0000
Er 0.3330 0.6670 0.0000
Er 0.6670 0.3330 0.0000
P 0.9165 0.5767 0.7494
P 0.7435 0.7435 0.2498
P 0.0835 0.4233 0.2506
P 0.5767 0.9165 0.7494
P 0.2565 0.2565 0.7502
P 0.4233 0.0835 0.2506
```

As for the calculated total energy: -6.61 eV/atom. The energy relative to the elements is -19.091 eV per formula unit. As for the space-group type: C2/m, No. 12. Its density of states at the Fermi level is 0.137 states/eV per atom.

(9)
The following is a DFT calculation (PBE-GGA) of an optimized crystal structure of AsRuPt2. Values from VASP.

Geometry as Quantum ESPRESSO input:
```
&SYSTEM
  ibrav = 0, nat = 8, ntyp = 3
/
ATOMIC_SPECIES
Ru 101.07 Ru.upf
As 74.92 As.upf
Pt 195.08 Pt.upf
CELL_PARAMETERS angstrom
5.1306 0.0000 0.0000
0.0000 5.1306 0.0000
2.5653 2.5653 6.5390
ATOMIC_POSITIONS crystal
Ru 0.0000 0.0000 0.0000
Ru 0.7500 0.2500 0.5000
As 0.5000 0.5000 0.0000
As 0.2500 0.7500 0.5000
Pt 0.6169 0.1250 0.2500
Pt 0.1331 0.6250 0.2500
Pt 0.3750 0.3831 0.7500
Pt 0.8750 0.8669 0.7500
```

As for the calculated total energy: -5.96 eV/atom. The energy relative to the elements is 2.157 eV per formula unit. As for the space-group type: I-42d, No. 122. Its density of states at the Fermi level is 1.069 states/eV per atom.

(10)
The following is a DFT calculation (PBE-GGA) of an optimized crystal structure of SrHPbW2. Values from VASP.

Geometry as Quantum ESPRESSO input:
```
&SYSTEM
  ibrav = 0, nat = 5, ntyp = 4
/
ATOMIC_SPECIES
Pb 207.20 Pb.upf
Sr 87.62 Sr.upf
W 183.84 W.upf
H 1.01 H.upf
CELL_PARAMETERS angstrom
5.5851 0.0000 0.0000
0.0000 3.7893 0.0000
0.0000 0.0000 5.5851
ATOMIC_POSITIONS crystal
Pb 0.0000 0.0000 0.0000
Sr 0.5000 0.5000 0.5000
W 0.0000 0.0000 0.5000
W 0.5000 0.0000 0.0000
H 0.0000 0.5000 0.0000
```

As for the calculated total energy: -4.91 eV/atom. As for the space-group type: P4/mmm, No. 123. Its density of states at the Fermi level is 1.011 states/eV per atom.

(11)
The following is a DFT calculation (PBE-GGA) of an optimized crystal structure of YCo2Se. Values from VASP.

Geometry as Quantum ESPRESSO input:
```
&SYSTEM
  ibrav = 0, nat = 4, ntyp = 3
/
ATOMIC_SPECIES
Co 58.93 Co.upf
Se 78.96 Se.upf
Y 88.91 Y.upf
CELL_PARAMETERS angstrom
-2.6332 -1.1746 -2.8042
-3.3174 -2.0053 1.0724
-4.4235 3.2356 -0.0875
ATOMIC_POSITIONS crystal
Co 0.0470 0.0470 0.8590
Co 0.7310 0.7310 0.8070
Se 0.4642 0.4642 0.6074
Y 0.2579 0.2579 0.2266
```

As for the calculated total energy: -6.44 eV/atom. As for the formation energy (no corrections): -0.403 eV per atom. As for the space-group type: R3m, No. 160. Its density of states at the Fermi level is 1.004 states/eV per atom.

(12)
The following is a DFT calculation (PBE-GGA) of an optimized crystal structure of LuCrRh2. Values from VASP.

Geometry as Quantum ESPRESSO input:
```
&SYSTEM
  ibrav = 0, nat = 4, ntyp = 3
/
ATOMIC_SPECIES
Cr 52.00 Cr.upf
Lu 174.97 Lu.upf
Rh 102.91 Rh.upf
CELL_PARAMETERS angstrom
3.2393 0.0000 0.0000
0.0000 3.2393 0.0000
0.0000 0.0000 6.2530
ATOMIC_POSITIONS crystal
Cr 0.5000 0.5000 0.0000
Lu 0.5000 0.5000 0.5000
Rh 0.0000 0.0000 0.7743
Rh 0.0000 0.0000 0.2257
```

As for the calculated total energy: -7.62 eV/atom. The energy relative to the elements is -1.650 eV per formula unit. As for the space-group type: P4/mmm, No. 123. Its density of states at the Fermi level is 0.725 states/eV per atom.

(13)
The following is a DFT calculation (PBE-GGA) of an optimized crystal structure of ZrNi2Au. Values from VASP.

Geometry as Quantum ESPRESSO input:
```
&SYSTEM
  ibrav = 0, nat = 4, ntyp = 3
/
ATOMIC_SPECIES
Au 196.97 Au.upf
Ni 58.69 Ni.upf
Zr 91.22 Zr.upf
CELL_PARAMETERS angstrom
-5.3163 -2.0804 -5.3141
-2.6054 -2.4281 -6.9388
-3.6166 -4.7511 -5.0177
ATOMIC_POSITIONS crystal
Au 0.7500 0.7500 0.7500
Ni 0.9971 0.9971 0.9971
Ni 0.5029 0.5029 0.5029
Zr 0.2500 0.2500 0.2500
```

As for the calculated total energy: -5.79 eV/atom. The energy relative to the elements is 0.235 eV per formula unit. As for the space-group type: R-3m, No. 166. Its density of states at the Fermi level is 0.580 states/eV per atom.

(14)
The following is a DFT calculation (PBE-GGA) of an optimized crystal structure of RbPaTeSe. Values from VASP.

Geometry as Quantum ESPRESSO input:
```
&SYSTEM
  ibrav = 0, nat = 4, ntyp = 4
/
ATOMIC_SPECIES
Rb 85.47 Rb.upf
Pa 231.04 Pa.upf
Te 127.60 Te.upf
Se 78.96 Se.upf
CELL_PARAMETERS angstrom
-2.2859 2.7130 -2.3958
1.0731 -3.8427 -1.5518
-6.1440 -3.8619 5.3150
ATOMIC_POSITIONS crystal
Rb 0.9571 0.3766 0.3488
Pa 0.3150 0.5554 0.8857
Te 0.4999 0.1478 0.6631
Se 0.1059 0.9509 0.0721
```

As for the calculated total energy: -5.35 eV/atom. As for the formation energy (no corrections): -1.079 eV per atom. As for the space-group type: R3m, No. 160. Its density of states at the Fermi level is 1.379 states/eV per atom.